Entry 1:
As2W | PBE | optimized geometry

POSCAR file:
```
As2W
1.0
14.9060 0.0047 0.0000
13.7451 5.7672 0.0000
-14.3255 -2.8860 2.9391
As W
8 4
Direct
0.7124 0.7124 0.0000
0.2876 0.2876 0.0000
0.9624 0.4624 0.5000
0.5376 0.0376 0.5000
0.5891 0.5891 0.0000
0.4109 0.4109 0.0000
0.8391 0.3391 0.5000
0.6609 0.1609 0.5000
0.9003 0.9003 0.0000
0.0997 0.0997 0.0000
0.1503 0.6503 0.5000
0.3497 0.8497 0.5000
```

## Properties
- crystal system = tetragonal
- volume (Å³ per atom) = 21.039
- ΔE_f (eV/atom) = 0.411
- E_tot (eV/atom) = -7.006
- space group = No. 141
- total magnetization (μB/atom) = 0.00

Entry 2:
As3W | PBE | optimized geometry

POSCAR file:
```
As3W
1.0
-3.3229 -0.9767 0.8327
1.2592 -2.9245 1.5945
0.4716 3.4102 5.8823
As W
3 1
Direct
0.0000 0.0000 0.9763
0.5000 0.0000 0.4416
0.5000 0.5000 0.9764
0.0000 0.5000 0.2723
```

## Properties
- crystal system = tetragonal
- volume (Å³ per atom) = 21.614
- ΔE_f (eV/atom) = 0.347
- E_tot (eV/atom) = -6.378
- space group = No. 99
- E above lowest polymorph (meV per atom) = 253
- total magnetization (μB/atom) = 0.00

Entry 3:
As2W | PBE | optimized geometry

POSCAR file:
```
As2W
1.0
-2.7788 -1.0238 -3.8809
-0.8159 -2.3290 4.2120
-3.0651 3.4140 1.2940
As W
4 2
Direct
0.8859 0.5666 0.2500
0.1141 0.4334 0.7500
0.5666 0.8859 0.2500
0.4334 0.1141 0.7500
0.2044 0.2044 0.2500
0.7956 0.7956 0.7500
```

## Properties
- crystal system = orthorhombic
- volume (Å³ per atom) = 16.497
- ΔE_f (eV/atom) = 0.269
- E_tot (eV/atom) = -7.148
- space group = No. 63
- total magnetization (μB/atom) = 0.00